Density functional theory data (PBE-GGA) for an optimized crystal structure of MgAgNO.

Cell: 4.1677 3.7293 6.5492 Å, 90.00 90.00 90.00°
Element x y z (fractional)
Mg: 0.2500 0.0000 0.1549
Mg: 0.7500 0.0000 0.8451
Ag: 0.2500 0.5000 0.6328
Ag: 0.7500 0.5000 0.3672
N: 0.2500 0.5000 0.2993
N: 0.7500 0.5000 0.7007
O: 0.2500 0.0000 0.8487
O: 0.7500 0.0000 0.1513

Output
Space group: Pmma (51)
Energy above the most stable polymorph in this dataset: 74 meV/atom